## Li4AcMn3O12 (GGA+U)

Data for crystalline Li4AcMn3O12 at its relaxed geometry.

Lattice parameters (Å, degrees): 6.5832 6.5832 6.5832 109.47 109.47 109.47
Positions (direct):
Li  0.0000  0.0000  0.5000
Li  0.0000  0.5000  0.0000
Li  0.5000  0.0000  0.0000
Li  0.5000  0.5000  0.5000
Ac  0.0000  0.0000  0.0000
Mn  0.0000  0.5000  0.5000
Mn  0.5000  0.0000  0.5000
Mn  0.5000  0.5000  0.0000
O  0.1525  0.8367  0.3158
O  0.1633  0.3158  0.4791
O  0.1633  0.6842  0.8475
O  0.3158  0.1525  0.8367
O  0.3158  0.4791  0.1633
O  0.4791  0.1633  0.3158
O  0.5209  0.8367  0.6842
O  0.6842  0.5209  0.8367
O  0.6842  0.8475  0.1633
O  0.8367  0.3158  0.1525
O  0.8367  0.6842  0.5209
O  0.8475  0.1633  0.6842

DFT total energy   -5.96 eV per atom